(1)
First-principles (PBE-GGA) data for V2Pd2Au after structural relaxation, as listed in Alexandria.

The calculated total energy comes out at -6.44 eV/atom. The value obtained for the energy relative to the elements is -0.06 eV/atom. The relative energy among the computed polymorphs comes out at 0.0000 eV per atom.

a = 7.496 Å, b = 7.496 Å, c = 2.743 Å
α = 90.00°, β = 90.00°, γ = 90.00°
Fractional positions:
1 Pd 0.872 0.628 0.000
2 V 0.831 0.331 0.500
3 V 0.331 0.169 0.500
4 Pd 0.372 0.872 0.000
5 Pd 0.128 0.372 0.000
6 Au 0.000 0.000 0.000
7 V 0.669 0.831 0.500
8 Pd 0.628 0.128 0.000
9 V 0.169 0.669 0.500
10 Au 0.500 0.500 0.000



(2)
First-principles (PBE-GGA) data for VPdAu after structural relaxation, as listed in Alexandria.

The calculated total energy comes out at -5.96 eV/atom. The value obtained for the energy relative to the elements is -0.10 eV/atom. The relative energy among the computed polymorphs comes out at 0.0668 eV per atom.

a = 8.382 Å, b = 4.798 Å, c = 5.668 Å
α = 124.95°, β = 90.00°, γ = 90.00°
Fractional positions:
1 Au 0.744 0.250 0.750
2 Pd 0.578 0.750 0.750
3 Au 0.256 0.750 0.250
4 Au 0.756 0.250 0.250
5 V 0.583 0.750 0.250
6 Pd 0.922 0.750 0.250
7 Au 0.244 0.750 0.750
8 Pd 0.078 0.250 0.750
9 V 0.083 0.250 0.250
10 Pd 0.422 0.250 0.250
11 V 0.417 0.250 0.750
12 V 0.917 0.750 0.750



(3)
First-principles (PBE-GGA) data for VPd6Au4 after structural relaxation, as listed in Alexandria.

The calculated total energy comes out at -4.85 eV/atom. The value obtained for the energy relative to the elements is 0.00 eV/atom.

a = 4.026 Å, b = 4.728 Å, c = 22.207 Å
α = 90.00°, β = 90.00°, γ = 115.20°
Fractional positions:
1 Pd 0.881 0.762 0.810
2 Pd 0.810 0.620 0.354
3 Au 0.804 0.608 0.552
4 Pd 0.190 0.380 0.646
5 Au 0.804 0.608 0.948
6 Pd 0.119 0.238 0.190
7 Au 0.196 0.392 0.052
8 Pd 0.500 0.000 0.500
9 V 0.722 0.443 0.250
10 Pd 0.190 0.380 0.854
11 Au 0.500 0.000 0.617
12 Au 0.500 0.000 0.383
13 Au 0.500 0.000 0.117
14 Pd 0.810 0.620 0.146
15 Pd 0.500 0.000 0.000
16 Pd 0.881 0.762 0.690
17 Pd 0.421 0.842 0.250
18 Pd 0.119 0.238 0.310
19 Au 0.196 0.392 0.448
20 Pd 0.579 0.158 0.750
21 Au 0.500 0.000 0.883
22 V 0.278 0.557 0.750



(4)
First-principles (PBE-GGA) data for V2Pd5Au5 after structural relaxation, as listed in Alexandria.

The calculated total energy comes out at -5.15 eV/atom. The value obtained for the energy relative to the elements is -0.10 eV/atom.

a = 4.943 Å, b = 4.948 Å, c = 11.002 Å
α = 68.49°, β = 58.22°, γ = 59.39°
Fractional positions:
1 Au 0.585 0.076 0.748
2 Pd 0.839 0.825 0.496
3 V 0.920 0.407 0.743
4 V 0.080 0.593 0.257
5 Pd 0.744 0.253 0.251
6 Pd 0.256 0.747 0.749
7 Au 0.669 0.661 0.998
8 Au 0.415 0.924 0.252
9 Au 0.331 0.339 0.002
10 Pd 0.000 0.000 0.000
11 Au 0.500 0.500 0.500
12 Pd 0.161 0.175 0.504



(5)
First-principles (PBE-GGA) data for VPdAu after structural relaxation, as listed in Alexandria.

The calculated total energy comes out at -5.91 eV/atom. The value obtained for the energy relative to the elements is -0.04 eV/atom. The relative energy among the computed polymorphs comes out at 0.1220 eV per atom.

a = 2.744 Å, b = 4.433 Å, c = 4.433 Å
α = 120.00°, β = 90.00°, γ = 90.00°
Fractional positions:
1 V 0.183 0.333 0.667
2 Pd 0.150 0.000 0.000
3 Au 0.666 0.667 0.333



(6)
First-principles (PBE-GGA) data for VPd2Au2 after structural relaxation, as listed in Alexandria.

The calculated total energy comes out at -5.27 eV/atom. The value obtained for the energy relative to the elements is -0.06 eV/atom. The relative energy among the computed polymorphs comes out at 0.0844 eV per atom.

a = 4.719 Å, b = 5.428 Å, c = 7.194 Å
α = 108.59°, β = 109.15°, γ = 90.00°
Fractional positions:
1 Pd 0.178 0.681 0.176
2 Au 0.604 0.125 0.376
3 Pd 0.998 0.181 0.176
4 Pd 0.822 0.319 0.824
5 V 0.577 0.750 0.000
6 V 0.423 0.250 0.000
7 Au 0.227 0.375 0.624
8 Au 0.773 0.625 0.376
9 Au 0.396 0.875 0.624
10 Pd 0.002 0.819 0.824



(7)
First-principles (PBE-GGA) data for V4Pd2Au after structural relaxation, as listed in Alexandria.

The calculated total energy comes out at -6.16 eV/atom. The value obtained for the energy relative to the elements is 1.00 eV/atom.

a = 4.787 Å, b = 4.787 Å, c = 7.200 Å
α = 70.58°, β = 70.58°, γ = 90.00°
Fractional positions:
1 V 0.201 0.201 0.598
2 V 0.000 0.500 0.000
3 V 0.799 0.799 0.402
4 Pd 0.395 0.395 0.211
5 Au 0.000 0.000 0.000
6 V 0.500 0.000 0.000
7 Pd 0.605 0.605 0.789



(8)
First-principles (PBE-GGA) data for V2Pd4Au after structural relaxation, as listed in Alexandria.

The calculated total energy comes out at -6.01 eV/atom. The value obtained for the energy relative to the elements is 0.03 eV/atom. The relative energy among the computed polymorphs comes out at 0.0244 eV per atom.

a = 4.928 Å, b = 2.691 Å, c = 8.991 Å
α = 90.00°, β = 90.00°, γ = 90.00°
Fractional positions:
1 V 0.000 0.500 0.500
2 Au 0.000 0.000 0.000
3 V 0.500 0.000 0.500
4 Pd 0.748 0.284 0.739
5 Pd 0.252 0.284 0.261
6 Pd 0.252 0.716 0.739
7 Pd 0.748 0.716 0.261



(9)
First-principles (PBE-GGA) data for V2Pd9Au after structural relaxation, as listed in Alexandria.

The calculated total energy comes out at -5.89 eV/atom. The value obtained for the energy relative to the elements is -0.21 eV/atom.

a = 3.929 Å, b = 3.929 Å, c = 11.786 Å
α = 90.00°, β = 90.00°, γ = 90.00°
Fractional positions:
1 Pd 0.000 0.500 0.500
2 V 0.000 0.000 0.672
3 Pd 0.500 0.500 0.000
4 Pd 0.000 0.500 0.821
5 Au 0.000 0.000 0.000
6 Pd 0.500 0.000 0.500
7 Pd 0.000 0.500 0.179
8 Pd 0.500 0.500 0.660
9 V 0.000 0.000 0.328
10 Pd 0.500 0.500 0.340
11 Pd 0.500 0.000 0.821
12 Pd 0.500 0.000 0.179



(10)
First-principles (PBE-GGA) data for VPd4Au7 after structural relaxation, as listed in Alexandria.

The calculated total energy comes out at -4.21 eV/atom. The value obtained for the energy relative to the elements is 0.19 eV/atom.

a = 4.919 Å, b = 8.620 Å, c = 6.086 Å
α = 79.89°, β = 66.16°, γ = 73.42°
Fractional positions:
1 Pd 0.571 0.225 0.633
2 Au 0.500 0.000 0.000
3 Au 0.203 0.085 0.509
4 Pd 0.278 0.320 0.124
5 Au 0.797 0.915 0.491
6 Au 0.075 0.668 0.182
7 V 0.000 0.000 0.000
8 Au 0.641 0.453 0.266
9 Au 0.925 0.332 0.818
10 Au 0.359 0.547 0.734
11 Pd 0.429 0.775 0.367
12 Pd 0.722 0.680 0.876